one:
! PmSm2Cd2, relaxed, DFT GGA-PBE; values from VASP
! D(E_F) ... 6.079 states/eV/f.u.
&SYSTEM
  ibrav = 0, nat = 10, ntyp = 3
/
ATOMIC_SPECIES
Cd 112.41 Cd.upf
Sm 150.36 Sm.upf
Pm 145.00 Pm.upf
CELL_PARAMETERS angstrom
-0.925 2.677 -2.537
-2.627 -3.753 -3.003
-11.339 1.270 8.331
ATOMIC_POSITIONS crystal
Cd 0.448 0.750 0.898
Cd 0.359 0.250 0.719
Cd 0.552 0.250 0.102
Cd 0.641 0.750 0.281
Sm 0.765 0.250 0.528
Sm 0.954 0.250 0.909
Sm 0.046 0.750 0.091
Sm 0.235 0.750 0.472
Pm 0.149 0.250 0.296
Pm 0.851 0.750 0.704


two:
! PmSm2Cd2, relaxed, DFT GGA-PBE; values from VASP
! D(E_F) ... 6.478 states/eV/f.u.
&SYSTEM
  ibrav = 0, nat = 10, ntyp = 3
/
ATOMIC_SPECIES
Cd 112.41 Cd.upf
Sm 150.36 Sm.upf
Pm 145.00 Pm.upf
CELL_PARAMETERS angstrom
-2.032 -2.357 2.031
4.897 -4.962 -4.259
7.082 0.455 7.613
ATOMIC_POSITIONS crystal
Cd 0.051 0.101 0.309
Cd 0.949 0.899 0.809
Cd 0.792 0.585 0.645
Cd 0.208 0.415 0.145
Sm 0.292 0.584 0.885
Sm 0.118 0.236 0.651
Sm 0.882 0.764 0.151
Sm 0.708 0.416 0.385
Pm 0.432 0.864 0.495
Pm 0.568 0.136 0.995


Which structure loses on stability? two does.